Ge5Au12Se3 | PBE | optimized geometry

Cell: 13.319 13.319 13.319 Å, 109.47 109.47 109.47°
Fractional coordinates of all 80 atoms:
1 Ge 0.000 0.000 0.000
2 Ge 0.000 0.000 0.500
3 Ge 0.000 0.500 0.000
4 Ge 0.000 0.500 0.500
5 Ge 0.125 0.750 0.875
6 Ge 0.125 0.875 0.250
7 Ge 0.250 0.125 0.875
8 Ge 0.250 0.625 0.375
9 Ge 0.375 0.250 0.625
10 Ge 0.375 0.625 0.750
11 Ge 0.500 0.000 0.000
12 Ge 0.500 0.000 0.500
13 Ge 0.500 0.500 0.000
14 Ge 0.500 0.500 0.500
15 Ge 0.625 0.375 0.250
16 Ge 0.625 0.750 0.375
17 Ge 0.750 0.375 0.625
18 Ge 0.750 0.875 0.125
19 Ge 0.875 0.125 0.750
20 Ge 0.875 0.250 0.125
21 Au 0.054 0.228 0.123
22 Au 0.054 0.326 0.930
23 Au 0.070 0.623 0.396
24 Au 0.070 0.946 0.674
25 Au 0.104 0.728 0.674
26 Au 0.104 0.877 0.430
27 Au 0.123 0.054 0.228
28 Au 0.123 0.570 0.896
29 Au 0.174 0.228 0.604
30 Au 0.174 0.446 0.570
31 Au 0.228 0.123 0.054
32 Au 0.228 0.604 0.174
33 Au 0.272 0.326 0.896
34 Au 0.272 0.446 0.377
35 Au 0.326 0.896 0.272
36 Au 0.326 0.930 0.054
37 Au 0.377 0.272 0.446
38 Au 0.377 0.604 0.930
39 Au 0.396 0.070 0.623
40 Au 0.396 0.826 0.772
41 Au 0.430 0.104 0.877
42 Au 0.430 0.826 0.554
43 Au 0.446 0.377 0.272
44 Au 0.446 0.570 0.174
45 Au 0.554 0.430 0.826
46 Au 0.554 0.623 0.728
47 Au 0.570 0.174 0.446
48 Au 0.570 0.896 0.123
49 Au 0.604 0.174 0.228
50 Au 0.604 0.930 0.377
51 Au 0.623 0.396 0.070
52 Au 0.623 0.728 0.554
53 Au 0.674 0.070 0.946
54 Au 0.674 0.104 0.728
55 Au 0.728 0.554 0.623
56 Au 0.728 0.674 0.104
57 Au 0.772 0.396 0.826
58 Au 0.772 0.877 0.946
59 Au 0.826 0.554 0.430
60 Au 0.826 0.772 0.396
61 Au 0.877 0.430 0.104
62 Au 0.877 0.946 0.772
63 Au 0.896 0.123 0.570
64 Au 0.896 0.272 0.326
65 Au 0.930 0.054 0.326
66 Au 0.930 0.377 0.604
67 Au 0.946 0.674 0.070
68 Au 0.946 0.772 0.877
69 Se 0.125 0.250 0.375
70 Se 0.125 0.375 0.750
71 Se 0.250 0.375 0.125
72 Se 0.250 0.875 0.625
73 Se 0.375 0.125 0.250
74 Se 0.375 0.750 0.125
75 Se 0.625 0.250 0.875
76 Se 0.625 0.875 0.750
77 Se 0.750 0.125 0.375
78 Se 0.750 0.625 0.875
79 Se 0.875 0.625 0.250
80 Se 0.875 0.750 0.625

Calculated values
E_form (uncorrected): 17.66 kJ per mole of atoms